KNb2Cl | PBE | relaxed

Cell: 4.9488 4.9488 4.9488 Å, 60.00 60.00 60.00°
Positions (direct):
K (0.0000, 0.0000, 0.0000)
Nb (0.2500, 0.2500, 0.2500)
Nb (0.7500, 0.7500, 0.7500)
Cl (0.5000, 0.5000, 0.5000)

DOS(E_F) in states/eV/atom: 1.517
Uncorrected formation energy in eV per atom: 1.792
Density in g cm⁻³: 5.0
Energy in Ry/atom: -0.2924
Energy above the lowest structure with this stoichiometry in meV per atom: 920